(1)
A relaxed structure of Ca5Ni, computed with GGA-PBE.

- Volume: 201 Å³/cell
- Space group: P-62m
- Energy: -2.42 eV/atom
- Total magnetic moment: 0.00 μB per atom

Lattice parameters (Å, degrees): 6.4986 6.4986 5.4829 90.00 90.00 120.00
Closest atoms and distances in Å follow each position.
Fractional coordinates of all 6 atoms:
Ca 0.0000 0.7007 0.0000  2 Ni 3.36, 6 Ca 3.37-3.57
Ca 0.2993 0.2993 0.0000  2 Ni 3.36, 6 Ca 3.37-3.57
Ca 0.3333 0.6667 0.5000  9 Ca 3.57-3.75, 3 Ni 3.75
Ca 0.6667 0.3333 0.5000  9 Ca 3.57-3.75, 3 Ni 3.75
Ca 0.7007 0.0000 0.0000  2 Ni 3.36, 6 Ca 3.37-3.57
Ni 0.0000 0.0000 0.5000  12 Ca 3.36-3.75

=====

(2)
A relaxed structure of CaNi2, computed with GGA-PBE.

- Volume: 109 Å³/cell
- Space group: Cm
- Energy: -4.55 eV/atom
- Total magnetic moment: 0.13 μB per atom

Lattice parameters (Å, degrees): 5.7638 5.7638 5.2448 99.94 99.94 39.69
Closest atoms and distances in Å follow each position.
Fractional coordinates of all 6 atoms:
Ca 0.0000 0.0000 0.0000  6 Ni 2.71-3.03
Ca 0.2283 0.2283 0.6689  4 Ni 2.71-2.98
Ni 0.3192 0.3192 0.2210  5 Ni 2.35-2.41
Ni 0.5302 0.5302 0.4492  4 Ni 2.35-2.38
Ni 0.6989 0.6989 0.2180  4 Ni 2.35-2.38
Ni 0.9097 0.9097 0.4487  5 Ni 2.35-2.41

=====

(3)
A relaxed structure of CaNi, computed with GGA-PBE.

- Volume: 81 Å³/cell
- Space group: Cmmm
- Energy: -3.87 eV/atom
- Total magnetic moment: 0.00 μB per atom

Lattice parameters (Å, degrees): 4.8290 4.8290 3.5028 90.00 90.00 95.81
Closest atoms and distances in Å follow each position.
Fractional coordinates of all 4 atoms:
Ca 0.2297 0.7703 0.0000  8 Ni 2.90-3.11, 2 Ca 3.25
Ca 0.7703 0.2297 0.0000  8 Ni 2.90-3.11, 2 Ca 3.25
Ni 0.3040 0.3040 0.5000  1 Ni 2.54
Ni 0.6960 0.6960 0.5000  1 Ni 2.54